Material: TbErTmAl
Method: DFT, PBE-GGA
State: optimized geometry

Values from the calculation:
DOS(E_F) in states/eV/f.u.: 4.79
Energy of formation from the pure elements in eV per formula unit: -0.769
Final energy in Ry/atom: -0.3340
Energy above the lowest structure with this stoichiometry in meV per atom: 0.0

CIF file:
```
data_TbErTmAl
_chemical_formula_sum 'Tb1 Er1 Tm1 Al1'
_symmetry_space_group_name_H-M 'P 1'
_symmetry_Int_Tables_number 1
_symmetry_space_group_name_Hall 'P 1'
_cell_length_a 4.718
_cell_length_b 4.740
_cell_length_c 4.729
_cell_angle_alpha 90.00
_cell_angle_beta 90.00
_cell_angle_gamma 90.00
loop_
_atom_site_label
_atom_site_type_symbol
_atom_site_fract_x
_atom_site_fract_y
_atom_site_fract_z
_atom_site_occupancy
Tb1 Tb 0.000 0.500 0.500 1
Er1 Er 0.000 0.000 0.000 1
Tm1 Tm 0.500 0.000 0.500 1
Al1 Al 0.500 0.500 0.000 1
```